Density functional theory data (PBEsol) for a relaxed structure of K2LiCr.

a = 5.6153 Å, b = 5.6153 Å, c = 9.7188 Å
α = 90.00°, β = 90.00°, γ = 90.00°
Space group I4/mmm (No. 139)
Inequivalent atoms, fractional coordinates:
K1 0.0000 0.5000 0.2500 x4
Li1 0.0000 0.0000 0.0000 x2
Cr1 0.0000 0.0000 0.5000 x2

Properties
As for the energy above the most stable polymorph in this dataset: 73.9 meV/atom. Its magnetization is 1.30 μB/atom. Its calculated total energy is -22.4 eV for the cell shown. As for the crystal system: tetragonal. As for the energy of formation: 0.82 eV/atom.



Density functional theory data (PBEsol) for a relaxed structure of K2LiCr.

a = 3.6058 Å, b = 6.3562 Å, c = 13.0351 Å
α = 90.00°, β = 90.00°, γ = 90.00°
Space group Imm2 (No. 44)
Inequivalent atoms, fractional coordinates:
K1 0.0000 0.0000 0.0000 x2
K2 0.0000 0.5000 0.2038 x2
Li1 0.0000 0.5000 0.7820 x2
Cr1 0.0000 0.0000 0.4500 x2

Properties
As for the energy above the most stable polymorph in this dataset: 0.0 meV/atom. Its magnetization is 1.27 μB/atom. Its calculated total energy is -23.0 eV for the cell shown. As for the crystal system: orthorhombic. As for the energy of formation: 0.75 eV/atom.